Entry from the Alexandria database: BaCo2Au after structural relaxation (GGA-PBEsol).

Cell and atoms, written as POSCAR:
```
BaCo2Au
1.0
-0.188 0.429 -3.376
-4.270 -2.791 -0.117
-0.213 4.892 2.355
Au Ba Co
1 1 2
Cartesian
-0.094 0.215 -1.688
-2.135 -1.396 -0.059
-1.067 1.621 0.266
-3.605 0.910 -1.404
```

Summary:
* raw total energy: -18.54 eV per formula unit
* crystal system: orthorhombic
* total moment: 3.08 μB/f.u.
* volume: 19.5 Å³ per atom